Density functional theory data (PBE) for a relaxed Tb2ErZn3CuAu2 crystal.

Properties
energy of formation from the pure elements	-0.584	eV per atom

Lattice parameters (Å, degrees): 3.931 12.610 7.314 90.00 90.00 90.00
Space group Amm2 (No. 38)
Inequivalent atoms, fractional coordinates:
Tb: 0.000 0.202 0.000 x4
Er: 0.000 0.000 0.605 x2
Zn: 0.500 0.000 0.970 x2
Zn: 0.500 0.117 0.320 x4
Cu: 0.000 0.000 0.204 x2
Au: 0.500 0.164 0.701 x4

***

Density functional theory data (PBE) for a relaxed DyEr3Te2C2 crystal.

Properties
E	-6.261	eV/atom

Lattice parameters (Å, degrees): 3.8024 3.8024 13.9456 90.00 90.00 120.00
Space group P3m1 (No. 156)
Inequivalent atoms, fractional coordinates:
Dy: 0.0000 0.0000 0.0000 x1
Er: 0.0000 0.0000 0.6853 x1
Er: 0.6667 0.3333 0.1864 x1
Er: 0.6667 0.3333 0.5007 x1
Te: 0.0000 0.0000 0.3431 x1
Te: 0.6667 0.3333 0.8415 x1
C: 0.3333 0.6667 0.0942 x1
C: 0.3333 0.6667 0.5929 x1

***

Density functional theory data (PBE) for a relaxed Sm2Co2SiGe crystal.

Properties
E	-6.279	eV/atom

Lattice parameters (Å, degrees): 4.059 4.059 6.832 90.00 90.00 90.00
Space group P4mm (No. 99)
Inequivalent atoms, fractional coordinates:
Sm: 0.000 0.000 0.000 x1
Sm: 0.500 0.500 0.371 x1
Co: 0.000 0.500 0.692 x2
Si: 0.500 0.500 0.863 x1
Ge: 0.000 0.000 0.498 x1

***

Density functional theory data (PBE) for a relaxed Li2Sc2GaSiIr2 crystal.

Properties
E	-6.028	eV/atom

Lattice parameters (Å, degrees): 4.392 4.392 6.240 90.00 90.00 90.00
Space group P-4m2 (No. 115)
Inequivalent atoms, fractional coordinates:
Li: 0.000 0.500 0.248 x2
Sc: 0.000 0.000 0.000 x1
Sc: 0.500 0.500 0.500 x1
Ga: 0.000 0.000 0.500 x1
Si: 0.500 0.500 0.000 x1
Ir: 0.000 0.500 0.760 x2

***

Density functional theory data (PBE) for a relaxed K4DyEr crystal.

Properties
E	-1.787	eV/atom

Lattice parameters (Å, degrees): 7.542 3.856 21.111 90.00 90.00 90.00
Space group Amm2 (No. 38)
Inequivalent atoms, fractional coordinates:
K: 0.000 0.000 0.000 x2
K: 0.000 0.000 0.327 x2
K: 0.000 0.000 0.671 x2
K: 0.500 0.000 0.505 x2
Dy: 0.500 0.000 0.820 x2
Er: 0.500 0.000 0.190 x2

***

Density functional theory data (PBE) for a relaxed PmAs crystal.

Properties
E above lowest polymorph	0.239	eV per atom

Lattice parameters (Å, degrees): 5.0579 5.0579 5.9380 90.00 90.00 120.00
Space group P6_3/mmc (No. 194)
Inequivalent atoms, fractional coordinates:
Pm: 0.3333 0.6667 0.2500 x2
As: 0.3333 0.6667 0.7500 x2

***

In order of appearance, calculated density = 10.4 9.0 7.7 8.1 2.6 5.6 g/cm³.
In order of appearance, M_tot = 0.029 0.001 0.618 0.018 4.483 0.000 μB per cell.